Record 1
Here is crystalline ScCu at its relaxed geometry from Alexandria via LeMat-Bulk. Energies are from PBE.

Formation enthalpy at 0 K in eV/atom: -0.1102

```
data_ScCu
_space_group_name_H-M_alt 'C 1 m 1'
_space_group_IT_number 8
_cell_length_a 10.8112
_cell_length_b 3.3207
_cell_length_c 6.3365
_cell_angle_alpha 90.00
_cell_angle_beta 111.14
_cell_angle_gamma 90.00
loop_
_space_group_symop_operation_xyz
'x,y,z'
'x,-y,z'
'x+1/2,y+1/2,z'
'x+1/2,-y+1/2,z'
loop_
_atom_site_label
_atom_site_type_symbol
_atom_site_fract_x
_atom_site_fract_y
_atom_site_fract_z
Sc1 Sc 0.0000 0.0000 0.0000
Sc2 Sc 0.0275 0.0000 0.5352
Sc3 Sc 0.2225 0.5000 0.3553
Cu1 Cu 0.1932 0.5000 0.8902
Cu2 Cu 0.3111 0.0000 0.7166
Cu3 Cu 0.3636 0.0000 0.1748
```

***

Record 2
Here is crystalline Sm2TePd at its relaxed geometry from Alexandria via LeMat-Bulk. Energies are from PBE.

Excess energy over the best structure of this formula in the dataset in meV per atom: 26.0
Formation energy from raw total energies in meV/atom: -1042

```
data_Sm2TePd
_space_group_name_H-M_alt 'R 3 m'
_space_group_IT_number 160
_space_group_name_Hall 'R 3 -2"'
_cell_length_a 4.2361
_cell_length_b 4.2361
_cell_length_c 22.5022
_cell_angle_alpha 90.00
_cell_angle_beta 90.00
_cell_angle_gamma 120.00
loop_
_atom_site_label
_atom_site_type_symbol
_atom_site_fract_x
_atom_site_fract_y
_atom_site_fract_z
Sm1 Sm 0.0000 0.0000 0.0000
Sm2 Sm 0.0000 0.0000 0.1917
Te1 Te 0.0000 0.0000 0.4288
Pd1 Pd 0.0000 0.0000 0.5956
```

***

Record 3
Here is crystalline SbOs3S at its relaxed geometry from Alexandria via LeMat-Bulk. Energies are from PBE.

Excess energy over the best structure of this formula in the dataset in meV per atom: 0.0
Formation energy from raw total energies in meV/atom: 1187

```
data_SbOs3S
_space_group_name_H-M_alt 'P m -3 m'
_space_group_IT_number 221
_space_group_name_Hall '-P 4 2 3'
_cell_length_a 4.4370
_cell_length_b 4.4370
_cell_length_c 4.4370
_cell_angle_alpha 90.00
_cell_angle_beta 90.00
_cell_angle_gamma 90.00
loop_
_atom_site_label
_atom_site_type_symbol
_atom_site_fract_x
_atom_site_fract_y
_atom_site_fract_z
Sb1 Sb 0.0000 0.0000 0.0000
Os1 Os 0.0000 0.5000 0.5000
S1 S 0.5000 0.5000 0.5000
```

***

Copy entry 3 word for word.
Here is crystalline SbOs3S at its relaxed geometry from Alexandria via LeMat-Bulk. Energies are from PBE.

Excess energy over the best structure of this formula in the dataset in meV per atom: 0.0
Formation energy from raw total energies in meV/atom: 1187

```
data_SbOs3S
_space_group_name_H-M_alt 'P m -3 m'
_space_group_IT_number 221
_space_group_name_Hall '-P 4 2 3'
_cell_length_a 4.4370
_cell_length_b 4.4370
_cell_length_c 4.4370
_cell_angle_alpha 90.00
_cell_angle_beta 90.00
_cell_angle_gamma 90.00
loop_
_atom_site_label
_atom_site_type_symbol
_atom_site_fract_x
_atom_site_fract_y
_atom_site_fract_z
Sb1 Sb 0.0000 0.0000 0.0000
Os1 Os 0.0000 0.5000 0.5000
S1 S 0.5000 0.5000 0.5000
```